Sm4Tl2Zn | PBE-GGA | optimized geometry

As for the offset from the most stable computed form: 0 meV per atom. For the size of the total moment, the calculation gives 0.01 μB per cell. The density of states at the Fermi level comes out at 9.30 states/eV/f.u.

It has space group R-3m (No. 166, hexagonal axes), with a = 5.3205 Å, b = 5.3205 Å, c = 25.8891 Å, α = 90.00°, β = 90.00° and γ = 120.00°. Symmetry generates all atoms from Sm at (0.0000, 0.0000, 0.1244), Sm at (0.0000, 0.0000, 0.3753), Tl at (0.0000, 0.0000, 0.2505) and Zn at (0.0000, 0.0000, 0.5000).